Ce4Pr3ErS8 | PBE | optimized geometry

a b c (Å): 8.079 8.076 8.079
angles (deg): 120.01 120.00 90.00
Last column: magnetic moment on the atom in μB.
Fractional coordinates of all 16 atoms:
Ce 0.500 0.000 0.000  0.79
Ce 0.500 0.000 0.500  0.60
Ce 0.000 0.000 0.000  0.60
Ce 0.000 0.000 0.500  0.60
Pr 0.500 0.500 0.000  -0.01
Pr 0.500 0.500 0.500  -0.01
Pr 0.000 0.500 0.500  -0.01
Er 0.000 0.500 0.000  0.00
S 0.244 0.748 0.004  -0.01
S 0.244 0.748 0.488  -0.01
S 0.248 0.244 0.496  -0.01
S 0.760 0.748 0.004  -0.01
S 0.240 0.252 0.996  -0.01
S 0.752 0.756 0.504  -0.01
S 0.756 0.252 0.512  -0.01
S 0.756 0.252 0.996  -0.01

Calculated values
The total moment comes out at 3.044 μB per cell. As for the space group: R-3m, No. 166. For the formation energy (no corrections), the calculation gives -3121 kJ/mol of formula units.

***

CePr4Er3S8 | PBE | optimized geometry

a b c (Å): 7.962 8.061 7.962
angles (deg): 119.59 120.00 90.00
Last column: magnetic moment on the atom in μB.
Fractional coordinates of all 16 atoms:
Ce 0.000 0.500 0.000  0.20
Pr 0.500 0.000 0.000  0.00
Pr 0.500 0.000 0.500  0.00
Pr 0.000 0.000 0.000  0.00
Pr 0.000 0.000 0.500  0.00
Er 0.500 0.500 0.000  0.01
Er 0.500 0.500 0.500  0.01
Er 0.000 0.500 0.500  0.01
S 0.247 0.732 0.985  0.00
S 0.247 0.732 0.494  0.00
S 0.258 0.273 0.515  0.00
S 0.738 0.732 0.985  0.00
S 0.262 0.268 0.015  0.00
S 0.742 0.727 0.485  0.00
S 0.753 0.268 0.506  0.00
S 0.753 0.268 0.015  0.00

Calculated values
The total moment comes out at 0.256 μB per cell. As for the space group: R-3m, No. 166. For the formation energy (no corrections), the calculation gives -3095 kJ/mol of formula units.

***

Ce3Pr2ErSb6 | PBE | optimized geometry

a b c (Å): 7.788 7.788 7.790
angles (deg): 99.61 99.61 120.01
Last column: magnetic moment on the atom in μB.
Fractional coordinates of all 12 atoms:
Ce 0.169 0.831 0.500  0.74
Ce 0.831 0.169 0.500  0.74
Ce 0.500 0.500 0.500  0.74
Pr 0.334 0.666 0.000  0.01
Pr 0.666 0.334 0.000  0.01
Er 0.000 0.000 0.000  -0.01
Sb 0.917 0.591 0.750  -0.02
Sb 0.759 0.759 0.253  -0.02
Sb 0.083 0.409 0.250  -0.02
Sb 0.591 0.917 0.750  -0.02
Sb 0.241 0.241 0.747  -0.02
Sb 0.409 0.083 0.250  -0.02

Calculated values
The total moment comes out at 2.350 μB per cell. As for the space group: C2/m, No. 12. For the formation energy (no corrections), the calculation gives -1272 kJ/mol of formula units.

***

CePr2ErSb4 | PBE | optimized geometry

a b c (Å): 4.494 7.770 7.786
angles (deg): 109.44 90.00 90.00
Last column: magnetic moment on the atom in μB.
Fractional coordinates of all 8 atoms:
Ce 0.000 0.000 0.000  0.66
Pr 0.500 0.000 0.500  0.00
Pr 0.000 0.500 0.500  0.00
Er 0.500 0.500 0.000  0.00
Sb 0.500 0.251 0.242  -0.01
Sb 0.500 0.749 0.758  -0.01
Sb 0.000 0.257 0.761  -0.01
Sb 0.000 0.743 0.239  -0.01

Calculated values
The total moment comes out at 0.681 μB per cell. As for the space group: P2/m, No. 10. For the formation energy (no corrections), the calculation gives -870 kJ/mol of formula units.

***

Ce2PrErSb5 | PBE | optimized geometry

a b c (Å): 5.273 5.273 11.756
angles (deg): 90.00 90.00 90.00
Last column: magnetic moment on the atom in μB.
Fractional coordinates of all 9 atoms:
Ce 0.500 0.500 0.286  0.90
Ce 0.500 0.500 0.714  0.90
Pr 0.000 0.000 0.000  -0.01
Er 0.000 0.000 0.500  -0.01
Sb 0.000 0.500 0.500  -0.01
Sb 0.500 0.000 0.500  -0.01
Sb 0.000 0.000 0.747  -0.03
Sb 0.000 0.000 0.253  -0.03
Sb 0.500 0.500 0.000  -0.03

Calculated values
The total moment comes out at 1.634 μB per cell. As for the space group: P4/mmm, No. 123. For the formation energy (no corrections), the calculation gives -292 kJ/mol of formula units.

***

CePrErSc | PBE | optimized geometry

a b c (Å): 5.570 5.570 5.570
angles (deg): 60.00 60.00 60.00
Last column: magnetic moment on the atom in μB.
Fractional coordinates of all 4 atoms:
Pr 0.250 0.250 0.250  -0.02
Sc 0.000 0.000 0.000  -0.01
Ce 0.750 0.750 0.750  0.52
Er 0.500 0.500 0.500  0.00

Calculated values
The total moment comes out at 0.517 μB per cell. As for the space group: F-43m, No. 216. As for the total energy: -21.05 eV/f.u.